Zn6CuRh | PBE | optimized geometry

a b c (Å): 5.121 5.121 5.121
angles (deg): 86.04 86.04 86.04
Element x y z (fractional)
Cu  0.000  0.000  0.000
Zn  0.161  0.161  0.539
Rh  0.500  0.500  0.500
Zn  0.839  0.839  0.461
Zn  0.161  0.539  0.161
Zn  0.539  0.161  0.161
Zn  0.839  0.461  0.839
Zn  0.461  0.839  0.839

Calculated total energy in eV/atom: -2.25
Energy of formation from the pure elements in eV per formula unit: 1.12
Crystal system: trigonal
Total magnetic moment in μB per cell: 0.0

MnAlAg2 | PBE | optimized geometry

a b c (Å): 3.053 3.053 7.142
angles (deg): 90.00 90.00 89.99
Element x y z (fractional)
Al  0.500  0.500  0.250
Ag  0.000  0.000  0.006
Ag  0.000  0.000  0.494
Mn  0.500  0.500  0.750

Calculated total energy in eV/atom: -4.54
Energy of formation from the pure elements in eV per formula unit: 0.47
Crystal system: tetragonal
Total magnetic moment in μB per cell: 4.1

CeCdI6 | PBE | optimized geometry

a b c (Å): 7.565 7.564 8.162
angles (deg): 62.39 62.39 60.01
Element x y z (fractional)
Ce  0.000  0.000  0.000
I  0.411  0.751  0.748
I  0.089  0.411  0.748
Cd  0.500  0.500  0.500
I  0.751  0.089  0.749
I  0.589  0.249  0.252
I  0.911  0.589  0.252
I  0.249  0.911  0.251

Calculated total energy in eV/atom: -2.88
Crystal system: trigonal
Total magnetic moment in μB per cell: 0.0

Cu2IrPt | PBE | optimized geometry

a b c (Å): 4.358 4.358 2.854
angles (deg): 90.00 90.00 90.00
Element x y z (fractional)
Cu  0.000  0.000  0.000
Pt  0.000  0.500  0.500
Ir  0.500  0.000  0.500
Cu  0.500  0.500  0.000

Calculated total energy in eV/atom: -5.65
Energy of formation from the pure elements in eV per formula unit: 0.47
Crystal system: tetragonal
Total magnetic moment in μB per cell: 0.0

Sr6Cd23 | PBE | optimized geometry

a b c (Å): 10.276 10.276 10.276
angles (deg): 60.00 60.00 60.00
Element x y z (fractional)
Cd  0.832  0.832  0.832
Cd  0.000  0.500  0.500
Cd  0.168  0.496  0.168
Sr  0.787  0.787  0.213
Cd  0.623  0.623  0.132
Cd  0.500  0.500  0.000
Cd  0.500  0.000  0.000
Cd  0.168  0.168  0.168
Cd  0.377  0.377  0.377
Cd  0.504  0.832  0.832
Cd  0.623  0.623  0.623
Sr  0.787  0.213  0.787
Cd  0.377  0.377  0.868
Sr  0.787  0.213  0.213
Sr  0.213  0.787  0.213
Sr  0.213  0.787  0.787
Cd  0.496  0.168  0.168
Cd  0.868  0.377  0.377
Cd  0.377  0.868  0.377
Cd  0.832  0.832  0.504
Cd  0.500  0.000  0.500
Cd  0.623  0.132  0.623
Sr  0.213  0.213  0.787
Cd  0.000  0.000  0.500
Cd  0.500  0.500  0.500
Cd  0.132  0.623  0.623
Cd  0.168  0.168  0.496
Cd  0.832  0.504  0.832
Cd  0.000  0.500  0.000

Calculated total energy in eV/atom: -1.32
Energy of formation from the pure elements in eV per formula unit: -7.12
Crystal system: cubic
Total magnetic moment in μB per cell: 0.6

SrLiCoP | PBE | optimized geometry

a b c (Å): 3.838 3.838 11.790
angles (deg): 90.00 90.00 90.00
Element x y z (fractional)
Li  0.250  0.750  0.500
Co  0.250  0.750  0.000
Co  0.750  0.250  0.000
P  0.250  0.250  0.098
Sr  0.250  0.250  0.773
Sr  0.750  0.750  0.227
P  0.750  0.750  0.902
Li  0.750  0.250  0.500

Calculated total energy in eV/atom: -4.57
Energy of formation from the pure elements in eV per formula unit: -2.17
Crystal system: tetragonal
Total magnetic moment in μB per cell: 1.0

KSrTl4 | PBE | optimized geometry

a b c (Å): 3.867 5.445 9.519
angles (deg): 90.00 90.00 90.00
Element x y z (fractional)
Tl  0.498  0.997  0.836
Tl  0.499  0.497  0.669
Sr  0.999  0.497  0.998
Tl  0.499  0.997  0.160
K  0.999  0.997  0.498
Tl  0.499  0.497  0.327

Calculated total energy in eV/atom: -2.23
Energy of formation from the pure elements in eV per formula unit: -1.13
Crystal system: orthorhombic
Total magnetic moment in μB per cell: 0.0

LaSmEuZn | PBE | optimized geometry

a b c (Å): 5.536 5.536 5.536
angles (deg): 60.00 60.00 60.00
Element x y z (fractional)
Eu  0.750  0.750  0.750
Sm  0.000  0.000  0.000
La  0.500  0.500  0.500
Zn  0.250  0.250  0.250

Calculated total energy in eV/atom: -5.26
Energy of formation from the pure elements in eV per formula unit: 0.15
Crystal system: cubic
Total magnetic moment in μB per cell: 7.3

Sr2CaSbAu | PBE | optimized geometry

a b c (Å): 6.235 5.829 6.235
angles (deg): 90.00 90.00 90.00
Element x y z (fractional)
Sr  0.000  0.000  0.500
Sr  0.500  0.000  0.000
Au  0.500  0.500  0.500
Ca  0.000  0.500  0.000
Sb  0.000  0.000  0.000

Calculated total energy in eV/atom: -2.84
Crystal system: tetragonal
Total magnetic moment in μB per cell: 0.0

Mg4Pd7Pt | PBE | optimized geometry

a b c (Å): 5.602 9.214 6.335
angles (deg): 62.70 64.62 41.71
Element x y z (fractional)
Mg  0.287  0.313  0.190
Pd  0.500  0.000  0.000
Pd  0.988  0.336  0.670
Pd  0.235  0.656  0.841
Mg  0.526  0.312  0.656
Pd  0.754  0.997  0.502
Pd  0.765  0.344  0.159
Mg  0.713  0.687  0.810
Pd  0.246  0.003  0.498
Pd  0.012  0.664  0.330
Pt  0.000  0.000  0.000
Mg  0.474  0.688  0.344

Calculated total energy in eV/atom: -4.61
Energy of formation from the pure elements in eV per formula unit: -6.56
Crystal system: triclinic
Total magnetic moment in μB per cell: 0.0

ThCdRh3 | PBE | optimized geometry

a b c (Å): 5.122 7.454 7.454
angles (deg): 135.01 90.00 90.00
Element x y z (fractional)
Rh  0.250  0.400  0.095
Rh  0.750  0.180  0.820
Rh  0.250  0.820  0.180
Th  0.750  0.660  0.340
Cd  0.000  0.000  0.000
Rh  0.750  0.095  0.400
Cd  0.500  0.000  0.000
Th  0.250  0.340  0.660
Rh  0.750  0.600  0.905
Rh  0.250  0.905  0.600

Calculated total energy in eV/atom: -6.44
Energy of formation from the pure elements in eV per formula unit: -1.80
Crystal system: orthorhombic
Total magnetic moment in μB per cell: 0.0

Ca2MgSn4Ir3 | PBE | optimized geometry

a b c (Å): 4.422 4.422 11.590
angles (deg): 90.00 90.00 90.00
Element x y z (fractional)
Sn  0.500  0.500  0.000
Ir  0.000  0.500  0.130
Mg  0.500  0.500  0.500
Sn  0.000  0.500  0.357
Sn  0.000  0.000  0.000
Ca  0.500  0.000  0.243
Ca  0.000  0.500  0.757
Ir  0.000  0.000  0.500
Sn  0.500  0.000  0.643
Ir  0.500  0.000  0.870

Calculated total energy in eV/atom: -5.23
Energy of formation from the pure elements in eV per formula unit: -4.06
Crystal system: tetragonal
Total magnetic moment in μB per cell: 0.0

EuCdAs | PBE | optimized geometry

a b c (Å): 4.604 4.490 4.490
angles (deg): 120.00 90.00 90.00
Element x y z (fractional)
As  0.063  0.000  0.000
Cd  0.249  0.333  0.667
Eu  0.688  0.667  0.333

Calculated total energy in eV/atom: -5.89
Energy of formation from the pure elements in eV per formula unit: -1.84
Crystal system: trigonal
Total magnetic moment in μB per cell: 7.2

AlSe2Br | PBE | optimized geometry

a b c (Å): 6.274 6.274 5.892
angles (deg): 75.22 75.22 32.91
Element x y z (fractional)
Al  0.512  0.512  0.601
Se  0.983  0.983  0.920
Br  0.146  0.146  0.334
Se  0.858  0.858  0.645

Calculated total energy in eV/atom: -3.51
Crystal system: monoclinic
Total magnetic moment in μB per cell: 0.0

TaAu2Se | PBE | optimized geometry

a b c (Å): 9.788 9.788 9.788
angles (deg): 17.74 17.74 17.74
Element x y z (fractional)
Au  0.495  0.495  0.495
Se  0.250  0.250  0.250
Ta  0.750  0.750  0.750
Au  0.005  0.005  0.005

Calculated total energy in eV/atom: -5.32
Crystal system: trigonal
Total magnetic moment in μB per cell: 0.0

Na2Mn2Fe | PBE | optimized geometry

a b c (Å): 5.720 5.720 5.263
angles (deg): 90.00 90.00 90.00
Element x y z (fractional)
Na  0.189  0.689  0.500
Na  0.811  0.311  0.500
Na  0.689  0.811  0.500
Fe  0.000  0.000  0.000
Mn  0.129  0.371  0.000
Mn  0.871  0.629  0.000
Mn  0.371  0.871  0.000
Fe  0.500  0.500  0.000
Mn  0.629  0.129  0.000
Na  0.311  0.189  0.500

Calculated total energy in eV/atom: -5.07
Energy of formation from the pure elements in eV per formula unit: 4.08
Crystal system: tetragonal
Total magnetic moment in μB per cell: 3.8

ZnCr3Te | PBE | optimized geometry

a b c (Å): 4.747 4.747 4.747
angles (deg): 90.00 90.00 90.00
Element x y z (fractional)
Cr  0.000  0.500  0.000
Te  0.500  0.500  0.500
Cr  0.500  0.000  0.000
Cr  0.000  0.000  0.500
Zn  0.000  0.000  0.000

Calculated total energy in eV/atom: -5.65
Crystal system: cubic
Total magnetic moment in μB per cell: 11.6

Fe2AgRu | PBE | optimized geometry

a b c (Å): 5.161 5.161 5.161
angles (deg): 148.00 129.17 61.34
Element x y z (fractional)
Fe  0.758  0.258  0.500
Fe  0.981  0.981  0.000
Ag  0.242  0.742  0.500
Ru  0.519  0.519  0.000

Calculated total energy in eV/atom: -6.88
Energy of formation from the pure elements in eV per formula unit: 1.52
Crystal system: orthorhombic
Total magnetic moment in μB per cell: 5.9

BaAgPS2 | PBE | optimized geometry

a b c (Å): 5.905 5.905 6.094
angles (deg): 90.00 90.00 90.00
Element x y z (fractional)
S  0.000  0.500  0.000
P  0.000  0.000  0.500
Ag  0.500  0.500  0.500
Ba  0.000  0.000  0.000
S  0.500  0.000  0.000

Calculated total energy in eV/atom: -2.85
Crystal system: tetragonal
Total magnetic moment in μB per cell: 3.7

LiCaPrMg | PBE | optimized geometry

a b c (Å): 3.924 3.924 7.856
angles (deg): 90.00 90.00 90.00
Element x y z (fractional)
Ca  0.500  0.500  0.608
Pr  0.500  0.500  0.108
Mg  0.000  0.000  0.350
Li  0.000  0.000  0.862

Calculated total energy in eV/atom: -2.58
Energy of formation from the pure elements in eV per formula unit: -0.05
Crystal system: tetragonal
Total magnetic moment in μB per cell: 0.3